# 1
Crystalline Tl2AsH at its relaxed geometry. Source: Alexandria via LeMat-Bulk, functional PBE.

Lattice parameters (Å, degrees): 4.0074 4.0074 13.2470 90.00 90.00 110.34
Sites, in units of the cell vectors:
Tl 0.2033 0.7967 0.6033
Tl 0.2033 0.7967 0.8967
Tl 0.7967 0.2033 0.1033
Tl 0.7967 0.2033 0.3967
As 0.2052 0.7948 0.2500
As 0.7948 0.2052 0.7500
H 0.4422 0.5578 0.2500
H 0.5578 0.4422 0.7500

## Properties
* space-group type: No. 63
* total DFT energy (no corrections): -3.0863 eV per atom
* energy above the lowest structure with this stoichiometry: 0.00 eV per formula unit
* crystal system: orthorhombic

# 2
Crystalline DyInAg at its relaxed geometry. Source: Alexandria via LeMat-Bulk, functional PBE.

Lattice parameters (Å, degrees): 4.8022 4.8022 4.8022 60.00 60.00 60.00
Sites, in units of the cell vectors:
Dy 0.0000 0.0000 0.0000
In 0.5000 0.5000 0.5000
Ag 0.2500 0.2500 0.2500

## Properties
* space-group type: No. 216
* total DFT energy (no corrections): -3.6796 eV per atom
* crystal system: cubic
* ΔH_f (0 K): -0.282 eV/atom

# 3
Crystalline FeReP2S at its relaxed geometry. Source: Alexandria via LeMat-Bulk, functional PBE.

Lattice parameters (Å, degrees): 4.6684 4.6684 4.4815 90.00 90.00 90.00
Sites, in units of the cell vectors:
Fe 0.0000 0.0000 0.0000
Re 0.5000 0.5000 0.5000
P 0.0000 0.5000 0.5000
P 0.5000 0.0000 0.5000
S 0.5000 0.5000 0.0000

## Properties
* space-group type: No. 123
* total DFT energy (no corrections): -5.9381 eV per atom
* energy above the lowest structure with this stoichiometry: 0.80 eV per formula unit
* crystal system: tetragonal

# 4
Crystalline Mn2AlCr at its relaxed geometry. Source: Alexandria via LeMat-Bulk, functional PBE.

Lattice parameters (Å, degrees): 4.6940 4.6940 4.6940 144.12 127.53 65.20
Sites, in units of the cell vectors:
Mn 0.2367 0.2367 0.0000
Mn 0.7633 0.7633 0.0000
Al 0.5000 0.0000 0.5000
Cr 0.0000 0.5000 0.5000

## Properties
* space-group type: No. 71
* total DFT energy (no corrections): -8.0176 eV per atom
* crystal system: orthorhombic
* ΔH_f (0 K): -0.091 eV/atom

# 5
Crystalline Nd6HPb2 at its relaxed geometry. Source: Alexandria via LeMat-Bulk, functional PBE.

Lattice parameters (Å, degrees): 6.6357 8.0067 12.1498 90.00 122.80 90.00
Sites, in units of the cell vectors:
Nd 0.0688 0.1999 0.4579
Nd 0.0688 0.3001 0.9579
Nd 0.3456 0.7050 0.4579
Nd 0.3456 0.7950 0.9579
Nd 0.3869 0.0260 0.2540
Nd 0.3869 0.4740 0.7540
Nd 0.6131 0.5260 0.2460
Nd 0.6131 0.9740 0.7460
Nd 0.6544 0.2050 0.0421
Nd 0.6544 0.2950 0.5421
Nd 0.9312 0.6999 0.0421
Nd 0.9312 0.8001 0.5421
H 0.5000 0.0000 0.5000
H 0.5000 0.5000 0.0000
Pb 0.1511 0.1085 0.7515
Pb 0.1511 0.3915 0.2515
Pb 0.8489 0.6085 0.7485
Pb 0.8489 0.8915 0.2485

## Properties
* space-group type: No. 14
* total DFT energy (no corrections): -4.6909 eV per atom
* crystal system: monoclinic

# 6
Crystalline NaPd5Au4 at its relaxed geometry. Source: Alexandria via LeMat-Bulk, functional PBE.

Lattice parameters (Å, degrees): 8.2255 9.6161 4.7465 90.00 90.00 90.00
Sites, in units of the cell vectors:
Na 0.2500 0.2500 0.0360
Na 0.7500 0.7500 0.9640
Pd 0.0812 0.5082 0.7540
Pd 0.0812 0.9918 0.7540
Pd 0.2500 0.7500 0.8897
Pd 0.4188 0.5082 0.7540
Pd 0.4188 0.9918 0.7540
Pd 0.5812 0.0082 0.2460
Pd 0.5812 0.4918 0.2460
Pd 0.7500 0.2500 0.1103
Pd 0.9188 0.0082 0.2460
Pd 0.9188 0.4918 0.2460
Au 0.0320 0.7500 0.4204
Au 0.2500 0.5267 0.2584
Au 0.2500 0.9733 0.2584
Au 0.4680 0.7500 0.4204
Au 0.5320 0.2500 0.5796
Au 0.7500 0.0267 0.7416
Au 0.7500 0.4733 0.7416
Au 0.9680 0.2500 0.5796

## Properties
* space-group type: No. 59
* total DFT energy (no corrections): -4.0503 eV per atom
* energy above the lowest structure with this stoichiometry: 0.00 eV per formula unit
* crystal system: orthorhombic
* ΔH_f (0 K): -0.011 eV/atom

# 7
Crystalline NaSr3NdTi5O15 at its relaxed geometry. Source: Alexandria via LeMat-Bulk, functional PBE.

Lattice parameters (Å, degrees): 20.1132 20.1132 20.1132 164.24 164.24 22.36
Sites, in units of the cell vectors:
Na 0.2007 0.2007 0.0000
Na 0.7993 0.7993 0.0000
Sr 0.0000 0.0000 0.0000
Sr 0.1007 0.1007 0.0000
Sr 0.3996 0.3996 0.0000
Sr 0.5000 0.5000 0.0000
Sr 0.6004 0.6004 0.0000
Sr 0.8993 0.8993 0.0000
Nd 0.2997 0.2997 0.0000
Nd 0.7003 0.7003 0.0000
Ti 0.0504 0.5504 0.5000
Ti 0.1514 0.6514 0.5000
Ti 0.2500 0.7500 0.5000
Ti 0.3486 0.8486 0.5000
Ti 0.4496 0.9496 0.5000
Ti 0.5504 0.0504 0.5000
Ti 0.6514 0.1514 0.5000
Ti 0.7500 0.2500 0.5000
Ti 0.8486 0.3486 0.5000
Ti 0.9496 0.4496 0.5000
O 0.0000 0.5000 0.5000
O 0.0537 0.4496 0.0000
O 0.0653 0.6328 0.0000
O 0.1009 0.6009 0.5000
O 0.1432 0.1432 0.5913
O 0.1734 0.1734 0.4480
O 0.2007 0.7007 0.5000
O 0.2256 0.6739 0.0000
O 0.2746 0.8266 0.0000
O 0.2993 0.7993 0.5000
O 0.3261 0.3261 0.5517
O 0.3672 0.3672 0.4324
O 0.3991 0.8991 0.5000
O 0.4482 0.8568 0.0000
O 0.4496 0.0537 0.0000
O 0.5000 0.0000 0.5000
O 0.5504 0.5504 0.6041
O 0.5518 0.5518 0.4087
O 0.6009 0.1009 0.5000
O 0.6328 0.0653 0.0000
O 0.6739 0.2256 0.0000
O 0.7007 0.2007 0.5000
O 0.7254 0.7254 0.5520
O 0.7744 0.7744 0.4483
O 0.7993 0.2993 0.5000
O 0.8266 0.2746 0.0000
O 0.8568 0.4482 0.0000
O 0.8991 0.3991 0.5000
O 0.9347 0.9347 0.5676
O 0.9463 0.9463 0.3959

## Properties
* space-group type: No. 121
* total DFT energy (no corrections): -8.0682 eV per atom
* crystal system: tetragonal

# 8
Crystalline Tb4As2N at its relaxed geometry. Source: Alexandria via LeMat-Bulk, functional PBE.

Lattice parameters (Å, degrees): 8.3128 8.3128 8.3128 148.13 148.13 45.70
Sites, in units of the cell vectors:
Tb 0.0000 0.5000 0.5000
Tb 0.1700 0.1700 0.0000
Tb 0.5000 0.0000 0.5000
Tb 0.8300 0.8300 0.0000
As 0.3616 0.3616 0.0000
As 0.6384 0.6384 0.0000
N 0.0000 0.0000 0.0000

## Properties
* space-group type: No. 139
* total DFT energy (no corrections): -6.3118 eV per atom
* crystal system: tetragonal

# 9
Crystalline BaHgCl2O at its relaxed geometry. Source: Alexandria via LeMat-Bulk, functional PBE.

Lattice parameters (Å, degrees): 6.7235 6.7235 8.8284 90.00 90.00 142.16
Sites, in units of the cell vectors:
Ba 0.1973 0.8027 0.7500
Ba 0.8027 0.1973 0.2500
Hg 0.5000 0.5000 0.0000
Hg 0.5000 0.5000 0.5000
Cl 0.1437 0.8563 0.0756
Cl 0.1437 0.8563 0.4244
Cl 0.8563 0.1437 0.5756
Cl 0.8563 0.1437 0.9244
O 0.4314 0.5686 0.2500
O 0.5686 0.4314 0.7500

## Properties
* space-group type: No. 63
* total DFT energy (no corrections): -3.6315 eV per atom
* crystal system: orthorhombic

# 10
Crystalline Cd2HPd at its relaxed geometry. Source: Alexandria via LeMat-Bulk, functional PBE.

Lattice parameters (Å, degrees): 5.4828 5.4828 5.4828 106.21 106.21 116.21
Sites, in units of the cell vectors:
Cd 0.0525 0.6250 0.9275
Cd 0.3750 0.3025 0.4275
Cd 0.6975 0.1250 0.0725
Cd 0.8750 0.9475 0.5725
H 0.0000 0.0000 0.0000
H 0.7500 0.2500 0.5000
Pd 0.2500 0.7500 0.5000
Pd 0.5000 0.5000 0.0000

## Properties
* space-group type: No. 122
* total DFT energy (no corrections): -2.4711 eV per atom
* energy above the lowest structure with this stoichiometry: 0.00 eV per formula unit
* crystal system: tetragonal

# 11
Crystalline Pm2Cu4Si3Pd at its relaxed geometry. Source: Alexandria via LeMat-Bulk, functional PBE.

Lattice parameters (Å, degrees): 4.1144 4.1144 9.9415 90.00 90.00 90.00
Sites, in units of the cell vectors:
Pm 0.0000 0.5000 0.2453
Pm 0.5000 0.0000 0.7547
Cu 0.0000 0.0000 0.0000
Cu 0.0000 0.5000 0.6403
Cu 0.5000 0.0000 0.3597
Cu 0.5000 0.5000 0.0000
Si 0.0000 0.5000 0.8728
Si 0.5000 0.0000 0.1272
Si 0.5000 0.5000 0.5000
Pd 0.0000 0.0000 0.5000

## Properties
* space-group type: No. 115
* total DFT energy (no corrections): -5.2550 eV per atom
* crystal system: tetragonal

# 12
Crystalline TiPdW3 at its relaxed geometry. Source: Alexandria via LeMat-Bulk, functional PBE.

Lattice parameters (Å, degrees): 4.5287 4.5287 4.5287 90.00 90.00 90.00
Sites, in units of the cell vectors:
Ti 0.0000 0.0000 0.0000
Pd 0.5000 0.5000 0.5000
W 0.0000 0.0000 0.5000
W 0.0000 0.5000 0.0000
W 0.5000 0.0000 0.0000

## Properties
* space-group type: No. 221
* total DFT energy (no corrections): -8.5449 eV per atom
* energy above the lowest structure with this stoichiometry: 0.00 eV per formula unit
* crystal system: cubic
* ΔH_f (0 K): 1.845 eV/atom

# 13
Crystalline SnP2I at its relaxed geometry. Source: Alexandria via LeMat-Bulk, functional PBE.

Lattice parameters (Å, degrees): 6.8882 6.8882 6.8882 118.38 118.38 92.83
Sites, in units of the cell vectors:
Sn 0.0000 0.0000 0.0000
Sn 0.7500 0.2500 0.5000
P 0.0829 0.6250 0.9579
P 0.3750 0.3329 0.4579
P 0.6671 0.1250 0.0421
P 0.8750 0.9171 0.5421
I 0.2500 0.7500 0.5000
I 0.5000 0.5000 0.0000

## Properties
* space-group type: No. 122
* total DFT energy (no corrections): -3.5451 eV per atom
* energy above the lowest structure with this stoichiometry: 0.00 eV per formula unit
* crystal system: tetragonal

# 14
Crystalline SnTe2IF at its relaxed geometry. Source: Alexandria via LeMat-Bulk, functional PBE.

Lattice parameters (Å, degrees): 5.8066 5.8066 5.9122 90.00 90.00 90.00
Sites, in units of the cell vectors:
Sn 0.0000 0.0000 0.0000
Te 0.0000 0.5000 0.0000
Te 0.5000 0.0000 0.0000
I 0.0000 0.0000 0.5000
F 0.5000 0.5000 0.5000

## Properties
* space-group type: No. 123
* total DFT energy (no corrections): -2.4917 eV per atom
* energy above the lowest structure with this stoichiometry: 2.13 eV per formula unit
* crystal system: tetragonal

# 15
Crystalline NaCdIn3Hg6 at its relaxed geometry. Source: Alexandria via LeMat-Bulk, functional PBE.

Lattice parameters (Å, degrees): 6.7058 6.7058 6.7058 93.76 93.76 93.76
Sites, in units of the cell vectors:
Na 0.0000 0.0000 0.0000
Cd 0.5194 0.5194 0.5194
In 0.0941 0.2475 0.4871
In 0.2475 0.4871 0.0941
In 0.4871 0.0941 0.2475
Hg 0.1944 0.7960 0.4659
Hg 0.4659 0.1944 0.7960
Hg 0.5435 0.7654 0.9260
Hg 0.7654 0.9260 0.5435
Hg 0.7960 0.4659 0.1944
Hg 0.9260 0.5435 0.7654

## Properties
* space-group type: No. 146
* total DFT energy (no corrections): -1.1478 eV per atom
* crystal system: trigonal
* ΔH_f (0 K): -0.033 eV/atom

# 16
Crystalline TcNi2Cl at its relaxed geometry. Source: Alexandria via LeMat-Bulk, functional PBE.

Lattice parameters (Å, degrees): 5.3050 5.3050 5.3050 102.32 102.32 124.97
Sites, in units of the cell vectors:
Tc 0.0000 0.0000 0.0000
Tc 0.7500 0.2500 0.5000
Ni 0.1513 0.6250 0.0263
Ni 0.3750 0.4013 0.5263
Ni 0.5987 0.1250 0.9737
Ni 0.8750 0.8487 0.4737
Cl 0.2500 0.7500 0.5000
Cl 0.5000 0.5000 0.0000

## Properties
* space-group type: No. 122
* total DFT energy (no corrections): -5.2909 eV per atom
* energy above the lowest structure with this stoichiometry: 1.85 eV per formula unit
* crystal system: tetragonal

# 17
Crystalline Sm8NiAu2 at its relaxed geometry. Source: Alexandria via LeMat-Bulk, functional PBE.

Lattice parameters (Å, degrees): 9.2459 9.2459 6.9280 100.86 100.86 32.26
Sites, in units of the cell vectors:
Sm 0.0266 0.0266 0.2800
Sm 0.2034 0.2034 0.8245
Sm 0.3424 0.3424 0.5298
Sm 0.4121 0.4121 0.0553
Sm 0.5879 0.5879 0.9447
Sm 0.6576 0.6576 0.4702
Sm 0.7966 0.7966 0.1755
Sm 0.9734 0.9734 0.7200
Ni 0.5000 0.5000 0.5000
Au 0.1923 0.1923 0.2411
Au 0.8077 0.8077 0.7589

## Properties
* space-group type: No. 12
* total DFT energy (no corrections): -4.8830 eV per atom
* energy above the lowest structure with this stoichiometry: 0.00 eV per formula unit
* crystal system: monoclinic
* ΔH_f (0 K): -0.329 eV/atom

# 18
Crystalline Ce5SmO6 at its relaxed geometry. Source: Alexandria via LeMat-Bulk, functional PBE.

Lattice parameters (Å, degrees): 6.0972 6.0972 6.0953 99.58 99.58 120.02
Sites, in units of the cell vectors:
Ce 0.0000 0.0000 0.0000
Ce 0.1666 0.8334 0.5000
Ce 0.3326 0.6674 0.0000
Ce 0.6674 0.3326 0.0000
Ce 0.8334 0.1666 0.5000
Sm 0.5000 0.5000 0.5000
O 0.0873 0.4180 0.2533
O 0.2523 0.2523 0.7484
O 0.4180 0.0873 0.2533
O 0.5820 0.9127 0.7467
O 0.7477 0.7477 0.2516
O 0.9127 0.5820 0.7467

## Properties
* space-group type: No. 12
* total DFT energy (no corrections): -8.2054 eV per atom
* crystal system: monoclinic

# 19
Crystalline Ce3Fe2Ge7 at its relaxed geometry. Source: Alexandria via LeMat-Bulk, functional PBE.

Lattice parameters (Å, degrees): 12.8793 12.8793 4.2479 90.00 90.00 161.10
Sites, in units of the cell vectors:
Ce 0.0000 0.0000 0.0000
Ce 0.3167 0.6833 0.5000
Ce 0.6833 0.3167 0.5000
Fe 0.1275 0.8725 0.0000
Fe 0.8725 0.1275 0.0000
Ge 0.0882 0.9118 0.5000
Ge 0.2193 0.7807 0.0000
Ge 0.4121 0.5879 0.0000
Ge 0.5000 0.5000 0.5000
Ge 0.5879 0.4121 0.0000
Ge 0.7807 0.2193 0.0000
Ge 0.9118 0.0882 0.5000

## Properties
* space-group type: No. 65
* total DFT energy (no corrections): -6.1626 eV per atom
* energy above the lowest structure with this stoichiometry: 0.00 eV per formula unit
* crystal system: orthorhombic
* ΔH_f (0 K): -0.575 eV/atom

# 20
Crystalline CdReSe2 at its relaxed geometry. Source: Alexandria via LeMat-Bulk, functional PBE.

Lattice parameters (Å, degrees): 7.0411 7.0411 7.0411 128.18 128.18 76.33
Sites, in units of the cell vectors:
Cd 0.0000 0.0000 0.0000
Cd 0.7500 0.2500 0.5000
Re 0.2500 0.7500 0.5000
Re 0.5000 0.5000 0.0000
Se 0.1760 0.6250 0.0510
Se 0.3750 0.4260 0.5510
Se 0.5740 0.1250 0.9490
Se 0.8750 0.8240 0.4490

## Properties
* space-group type: No. 122
* total DFT energy (no corrections): -4.7923 eV per atom
* energy above the lowest structure with this stoichiometry: 1.13 eV per formula unit
* crystal system: tetragonal

# 21
Crystalline Ac3Si3Pd2 at its relaxed geometry. Source: Alexandria via LeMat-Bulk, functional PBE.

Lattice parameters (Å, degrees): 6.1410 6.1410 16.1216 90.00 90.00 137.92
Sites, in units of the cell vectors:
Ac 0.0706 0.9294 0.7500
Ac 0.3535 0.6465 0.5937
Ac 0.3535 0.6465 0.9063
Ac 0.6465 0.3535 0.0937
Ac 0.6465 0.3535 0.4063
Ac 0.9294 0.0706 0.2500
Si 0.0744 0.9256 0.5514
Si 0.0744 0.9256 0.9486
Si 0.2205 0.7795 0.2500
Si 0.7795 0.2205 0.7500
Si 0.9256 0.0744 0.0514
Si 0.9256 0.0744 0.4486
Pd 0.3577 0.6423 0.1174
Pd 0.3577 0.6423 0.3826
Pd 0.6423 0.3577 0.6174
Pd 0.6423 0.3577 0.8826

## Properties
* space-group type: No. 63
* total DFT energy (no corrections): -5.6736 eV per atom
* energy above the lowest structure with this stoichiometry: 0.00 eV per formula unit
* crystal system: orthorhombic